Entry 1:
This record from Alexandria via LeMat-Bulk describes crystalline LaOsN3 at its relaxed geometry. The functional is PBE.

Unit cell a=4.052 b=4.778 c=4.733 alpha=85.53 beta=90.00 gamma=64.91
Fractional coordinates of all 5 atoms:
Os: 0.310 0.571 0.980
N: 0.432 0.326 0.702
N: 0.868 0.765 0.190
La: 0.009 0.172 0.450
N: 0.557 0.765 0.190

E_form (uncorrected) (eV per atom): -0.265
Final energy (Ha/atom): -0.31207

Entry 2:
This record from Alexandria via LeMat-Bulk describes crystalline LaOsN3 at its relaxed geometry. The functional is PBE.

Unit cell a=7.338 b=4.139 c=5.736 alpha=85.92 beta=113.70 gamma=99.09
Fractional coordinates of all 10 atoms:
N: 0.674 0.014 0.312
Os: 0.931 0.807 0.175
Os: 0.631 0.363 0.034
N: 0.632 0.690 0.298
N: 0.119 0.795 0.053
La: 0.013 0.290 0.716
N: 0.077 0.831 0.516
N: 0.752 0.075 0.902
N: 0.391 0.378 0.765
La: 0.422 0.896 0.526

E_form (uncorrected) (eV per atom): -0.313
Final energy (Ha/atom): -0.31382

Entry 3:
This record from Alexandria via LeMat-Bulk describes crystalline LaOsN3 at its relaxed geometry. The functional is PBE.

Unit cell a=3.855 b=3.849 c=5.000 alpha=90.17 beta=98.49 gamma=89.91
Fractional coordinates of all 5 atoms:
La: 0.672 0.755 0.286
N: 0.602 0.254 0.903
Os: 0.101 0.254 0.900
N: 0.233 0.256 0.321
N: 0.019 0.255 0.503

E_form (uncorrected) (eV per atom): -0.301
Final energy (Ha/atom): -0.31339

Entry 4:
This record from Alexandria via LeMat-Bulk describes crystalline LaOs3N at its relaxed geometry. The functional is PBE.

Unit cell a=4.979 b=4.979 c=4.979 alpha=90.00 beta=90.00 gamma=90.00
Each line ends with the local moment (μB).
Fractional coordinates of all 5 atoms:
La: 0.000 0.000 0.000  -0.05
Os: 0.500 0.000 0.000  1.53
N: 0.500 0.500 0.500  1.62
Os: 0.000 0.000 0.500  1.73
Os: 0.000 0.500 0.000  1.73

E_form (uncorrected) (eV per atom): 4.039
Final energy (Ha/atom): -0.19659

Entry 5:
This record from Alexandria via LeMat-Bulk describes crystalline LaOsN3 at its relaxed geometry. The functional is PBE.

Unit cell a=4.191 b=4.263 c=4.173 alpha=90.00 beta=59.85 gamma=90.00
Fractional coordinates of all 5 atoms:
N: 0.407 0.720 0.706
Os: 0.967 0.720 0.266
La: 0.645 0.220 0.910
N: 0.982 0.220 0.237
N: 0.088 0.720 0.706

E_form (uncorrected) (eV per atom): -0.255
Final energy (Ha/atom): -0.31169

Entry 6:
This record from Alexandria via LeMat-Bulk describes crystalline LaOsN3 at its relaxed geometry. The functional is PBE.

Unit cell a=3.144 b=6.166 c=6.166 alpha=119.75 beta=90.00 gamma=90.00
Fractional coordinates of all 5 atoms:
N: 0.500 0.268 0.354
N: 0.000 0.239 0.761
La: 0.500 0.071 0.929
N: 0.500 0.646 0.732
Os: 0.000 0.405 0.595

E_form (uncorrected) (eV per atom): 0.083
Final energy (Ha/atom): -0.29929

Entry 7:
This record from Alexandria via LeMat-Bulk describes crystalline LaOsN3 at its relaxed geometry. The functional is PBE.

Unit cell a=3.812 b=6.848 c=7.192 alpha=87.47 beta=74.67 gamma=73.62
Fractional coordinates of all 10 atoms:
La: 0.576 0.346 0.932
La: 0.921 0.171 0.421
N: 0.645 0.907 0.233
N: 0.833 0.995 0.774
N: 0.580 0.089 0.186
N: 0.952 0.827 0.704
N: 0.228 0.328 0.646
Os: 0.726 0.651 0.325
Os: 0.144 0.594 0.548
N: 0.925 0.447 0.132

E_form (uncorrected) (eV per atom): -0.312
Final energy (Ha/atom): -0.31380

Entry 8:
This record from Alexandria via LeMat-Bulk describes crystalline LaOsN3 at its relaxed geometry. The functional is PBE.

Unit cell a=5.863 b=3.944 c=6.643 alpha=70.20 beta=106.82 gamma=85.29
Fractional coordinates of all 10 atoms:
La: 0.618 0.146 0.132
N: 0.242 0.442 0.722
N: 0.821 0.458 0.415
N: 0.612 0.787 0.884
N: 0.092 0.161 0.163
La: 0.018 0.846 0.851
N: 0.264 0.835 0.248
Os: 0.459 0.730 0.603
N: 0.761 0.591 0.553
Os: 0.161 0.363 0.417

E_form (uncorrected) (eV per atom): -0.280
Final energy (Ha/atom): -0.31261

Question: E_form (uncorrected) of number 5 (LaOsN3)?
Answer: -0.255 eV per atom

Question: Which of these has the lowest E_form (uncorrected)?
Answer: number 2